# 1
Here is a geometry-optimized NiAgMo2 structure from Alexandria. Energies are from PBE-GGA.

The space group is P4/mmm (No. 123) and the conventional cell measures 3.747, 3.747 and 4.242 Å, with angles of 90.00, 90.00 and 90.00 degrees. The inequivalent atoms are Ni at (0.000, 0.000, 0.000), Ag at (0.500, 0.500, 0.000) and Mo at (0.000, 0.500, 0.500).

As for the formation energy: 0.361 eV per atom. Its total energy is -28.8 eV per cell. For the spin magnetization, the calculation gives 0.000 μB per atom. Its polymorph energy (0 for the lowest one) is 0.160 eV per atom. The value obtained for the volume is 59.6 Å³/cell. The calculation puts the density of states at the Fermi level at 4.791 states/eV/f.u.



# 2
Here is a geometry-optimized Pr3Nd2Ru2 structure from Alexandria. Energies are from PBE-GGA.

The space group is C2/m (No. 12) and the conventional cell measures 12.448, 3.971 and 9.059 Å, with angles of 90.00, 114.35 and 90.00 degrees. The inequivalent atoms are Pr at (0.000, 0.000, 0.000), Pr at (0.119, 0.000, 0.424), Nd at (0.170, 0.500, 0.809) and Ru at (0.182, 0.500, 0.234).

As for the formation energy: -0.177 eV per atom. Its total energy is -87.3 eV per cell. For the spin magnetization, the calculation gives 0.000 μB per atom. The value obtained for the volume is 408.0 Å³/cell. The calculation puts the density of states at the Fermi level at 5.381 states/eV/f.u.



Copy entry 1 word for word.
Here is a geometry-optimized NiAgMo2 structure from Alexandria. Energies are from PBE-GGA.

The space group is P4/mmm (No. 123) and the conventional cell measures 3.747, 3.747 and 4.242 Å, with angles of 90.00, 90.00 and 90.00 degrees. The inequivalent atoms are Ni at (0.000, 0.000, 0.000), Ag at (0.500, 0.500, 0.000) and Mo at (0.000, 0.500, 0.500).

As for the formation energy: 0.361 eV per atom. Its total energy is -28.8 eV per cell. For the spin magnetization, the calculation gives 0.000 μB per atom. Its polymorph energy (0 for the lowest one) is 0.160 eV per atom. The value obtained for the volume is 59.6 Å³/cell. The calculation puts the density of states at the Fermi level at 4.791 states/eV/f.u.



> Which of these has the highest volume?

Pr3Nd2Ru2